No. 1
The following is a DFT calculation (PBE) of ThNpTi after structural relaxation.

The structure belongs to space group P2_1/c (No. 14); the cell edges are 6.106, 5.725 and 8.293 Å and the angles 90.00°, 104.96° and 90.00°. The inequivalent atoms are Th at (0.085, 0.170, 0.354), Np at (0.340, 0.603, 0.514) and Ti at (0.466, 0.083, 0.693).


No. 2
The following is a DFT calculation (PBE) of ThNpTl after structural relaxation.

The structure belongs to space group Cmcm (No. 63); the cell edges are 4.903, 18.407 and 3.667 Å and the angles 90.00°, 90.00° and 90.00°. The inequivalent atoms are Th at (0.000, 0.094, 0.250), Np at (0.000, 0.460, 0.250) and Tl at (0.000, 0.289, 0.250).


| no. | formation energy (eV/atom) |
| --- | --- |
| 1 | 0.33 |
| 2 | 0.13 |